VASP calculation (GGA-PBE) on an optimized crystal structure of CuRe2Si2.

The value obtained for the raw total energy is -79.2 eV for the cell shown. The calculation puts the density of states at the Fermi level at 0.552 states/eV/atom. Its formation energy (no corrections) is 46 meV/atom.

The space group is P4/mbm (No. 127) and the conventional cell measures 6.664, 6.664 and 3.102 Å, with angles of 90.00, 90.00 and 90.00 degrees. The distinct sites, in fractional coordinates, are Cu at (0.000, 0.000, 0.000), Re at (0.155, 0.345, 0.500) and Si at (0.140, 0.640, 0.000).